a | Compound: MoOs2Ru2
Source: the Alexandria database
Functional: GGA-PBE
Structure: optimized geometry

a = 7.3991 Å, b = 7.3991 Å, c = 2.7587 Å
α = 90.00°, β = 90.00°, γ = 90.00°
Last column: nearest neighbours and their distance in Å.
Space group P4/mbm (No. 127)
One atom of each set of equivalent atoms:
Mo 0.0000 0.0000 0.0000  2 Mo 2.76, 4 Os 2.93, 8 Ru 3.07
Os 0.1241 0.3759 0.0000  6 Ru 2.54-2.61, 3 Os 2.60-2.76
Ru 0.1715 0.6715 0.5000  6 Os 2.54-2.61, 2 Ru 2.76

Summary:
- Calculated density: 14.920 Mg/m³

---

b | Compound: MoOs2Ru2
Source: the Alexandria database
Functional: GGA-PBE
Structure: optimized geometry

a = 4.3264 Å, b = 9.2363 Å, c = 16.9006 Å
α = 90.00°, β = 90.00°, γ = 90.00°
Last column: nearest neighbours and their distance in Å.
Space group Fddd (No. 70, origin choice 2)
One atom of each set of equivalent atoms:
Mo 0.1250 0.1250 0.1250  6 Os 2.77-2.89, 4 Ru 2.84
Os 0.1250 0.3123 0.6250  2 Os 2.45, 4 Ru 2.53-2.68
Ru 0.1250 0.1250 0.5161  4 Os 2.53-2.68, 2 Ru 2.61

Summary:
- Calculated density: 13.347 Mg/m³

---

c | Compound: MoOs2Ru2
Source: the Alexandria database
Functional: GGA-PBE
Structure: optimized geometry

a = 7.3855 Å, b = 7.3855 Å, c = 2.7576 Å
α = 90.00°, β = 90.00°, γ = 90.00°
Last column: nearest neighbours and their distance in Å.
Space group P4/mbm (No. 127)
One atom of each set of equivalent atoms:
Mo 0.0000 0.0000 0.0000  2 Mo 2.76, 4 Ru 2.93, 8 Os 3.06
Os 0.1723 0.3277 0.5000  6 Ru 2.54-2.61, 2 Os 2.76
Ru 0.1236 0.6236 0.0000  6 Os 2.54-2.61, 3 Ru 2.58-2.76

Summary:
- Calculated density: 14.982 Mg/m³

---

It is a that is the most stable of them.

---

a | Compound: MoOsS2
Source: the Alexandria database
Functional: GGA-PBE
Structure: optimized geometry

a = 5.9980 Å, b = 5.9980 Å, c = 5.9980 Å
α = 90.00°, β = 90.00°, γ = 90.00°
Last column: nearest neighbours and their distance in Å.
Space group Fm-3m (No. 225)
One atom of each set of equivalent atoms:
Mo 0.0000 0.0000 0.0000  8 S 2.60
Os 0.0000 0.0000 0.5000  8 S 2.60
S 0.2500 0.2500 0.2500  4 Os 2.60, 4 Mo 2.60

Summary:
- Calculated density: 10.782 Mg/m³

---

b | Compound: MoOsS2
Source: the Alexandria database
Functional: GGA-PBE
Structure: optimized geometry

a = 3.0179 Å, b = 3.0179 Å, c = 23.4891 Å
α = 90.00°, β = 90.00°, γ = 120.00°
Last column: nearest neighbours and their distance in Å.
Space group R-3m (No. 166, hexagonal axes)
One atom of each set of equivalent atoms:
Mo 0.0000 0.0000 0.0000  6 S 2.42
Os 0.0000 0.0000 0.5000  2 S 2.24
S 0.0000 0.0000 0.4046  1 Os 2.24, 3 Mo 2.42

Summary:
- Calculated density: 9.419 Mg/m³

---

c | Compound: MoOsS2
Source: the Alexandria database
Functional: GGA-PBE
Structure: optimized geometry

a = 5.3586 Å, b = 5.3586 Å, c = 10.1932 Å
α = 90.00°, β = 90.00°, γ = 90.00°
Last column: nearest neighbours and their distance in Å.
Space group I-42d (No. 122)
One atom of each set of equivalent atoms:
Mo 0.0000 0.0000 0.0000  4 S 2.32
Os 0.0000 0.0000 0.5000  4 S 2.25
S 0.2397 0.2500 0.6250  2 Os 2.25, 2 Mo 2.32

Summary:
- Calculated density: 7.949 Mg/m³

---

It is b that is the most stable of them.

---

a | Compound: Sb2MoOs
Source: the Alexandria database
Functional: GGA-PBE
Structure: optimized geometry

a = 6.7367 Å, b = 6.7367 Å, c = 6.7367 Å
α = 90.00°, β = 90.00°, γ = 90.00°
Last column: nearest neighbours and their distance in Å.
Space group F-43m (No. 216)
One atom of each set of equivalent atoms:
Sb 0.0000 0.0000 0.0000  4 Sb 2.92, 4 Mo 2.92
Sb 0.2500 0.2500 0.2500  4 Sb 2.92, 4 Os 2.92
Mo 0.2500 0.2500 0.7500  4 Sb 2.92, 4 Os 2.92
Os 0.0000 0.0000 0.5000  4 Mo 2.92, 4 Sb 2.92

Summary:
- Calculated density: 11.508 Mg/m³

---

b | Compound: Sb2MoOs
Source: the Alexandria database
Functional: GGA-PBE
Structure: optimized geometry

a = 3.0330 Å, b = 3.0330 Å, c = 9.1817 Å
α = 90.00°, β = 90.00°, γ = 90.00°
Last column: nearest neighbours and their distance in Å.
Space group P4mm (No. 99)
One atom of each set of equivalent atoms:
Sb 0.0000 0.0000 0.0000  4 Os 2.84, 4 Sb 3.03
Sb 0.5000 0.5000 0.3902  4 Mo 2.97, 4 Sb 3.03
Mo 0.0000 0.0000 0.6144  4 Os 2.72, 4 Sb 2.97, 4 Mo 3.03
Os 0.5000 0.5000 0.7970  4 Mo 2.72, 4 Sb 2.84, 4 Os 3.03

Summary:
- Calculated density: 10.414 Mg/m³

---

c | Compound: Sb2MoOs
Source: the Alexandria database
Functional: GGA-PBE
Structure: optimized geometry

a = 4.2291 Å, b = 4.2291 Å, c = 8.3375 Å
α = 90.00°, β = 90.00°, γ = 90.00°
Last column: nearest neighbours and their distance in Å.
Space group I-4m2 (No. 119)
One atom of each set of equivalent atoms:
Sb 0.0000 0.0000 0.0000  4 Mo 2.97, 4 Sb 2.97, 4 Os 2.99
Sb 0.0000 0.5000 0.2500  4 Os 2.97, 4 Sb 2.97, 4 Mo 2.99
Mo 0.0000 0.5000 0.7500  8 Sb 2.97-2.99, 4 Os 2.97
Os 0.0000 0.0000 0.5000  4 Mo 2.97, 8 Sb 2.97-2.99

Summary:
- Calculated density: 11.797 Mg/m³

---

It is b that is the most stable of them.

---

a | Compound: Sb2MoOs
Source: the Alexandria database
Functional: GGA-PBE
Structure: optimized geometry

a = 3.2345 Å, b = 5.4519 Å, c = 8.6934 Å
α = 90.00°, β = 90.00°, γ = 90.00°
Last column: nearest neighbours and their distance in Å.
Space group Immm (No. 71)
One atom of each set of equivalent atoms:
Sb 0.0000 0.0000 0.2435  2 Os 2.66, 2 Mo 2.75
Mo 0.0000 0.5000 0.0000  4 Sb 2.75
Os 0.0000 0.5000 0.5000  4 Sb 2.66

Summary:
- Calculated density: 11.475 Mg/m³

---

b | Compound: Sb2MoOs
Source: the Alexandria database
Functional: GGA-PBE
Structure: optimized geometry

a = 9.5922 Å, b = 3.2795 Å, c = 4.8981 Å
α = 90.00°, β = 108.09°, γ = 90.00°
Last column: nearest neighbours and their distance in Å.
Space group Cm (No. 8)
One atom of each set of equivalent atoms:
Sb 0.0000 0.0000 0.0000  3 Os 2.69-2.78, 2 Mo 2.85
Sb 0.2264 0.0000 0.6295  3 Mo 2.68-2.77, 2 Os 2.87
Mo 0.4819 0.0000 0.5137  5 Sb 2.68-2.85, 2 Os 2.97
Os 0.2451 0.5000 0.1209  5 Sb 2.69-2.87, 2 Mo 2.97

Summary:
- Calculated density: 12.011 Mg/m³

---

c | Compound: Sb2MoOs
Source: the Alexandria database
Functional: GGA-PBE
Structure: optimized geometry

a = 3.0709 Å, b = 3.0709 Å, c = 32.1207 Å
α = 90.00°, β = 90.00°, γ = 120.00°
Last column: nearest neighbours and their distance in Å.
Space group R3m (No. 160, hexagonal axes)
One atom of each set of equivalent atoms:
Sb 0.0000 0.0000 0.0000  3 Mo 2.87, 6 Sb 3.07
Sb 0.0000 0.0000 0.2010  3 Os 2.77, 6 Sb 3.07
Mo 0.0000 0.0000 0.7371  3 Os 2.72, 3 Sb 2.87
Os 0.0000 0.0000 0.4681  3 Mo 2.72, 3 Sb 2.77

Summary:
- Calculated density: 10.059 Mg/m³

---

It is b that is the most stable of them.

---

a | Compound: Sb3MoOs
Source: the Alexandria database
Functional: GGA-PBE
Structure: optimized geometry

a = 5.1442 Å, b = 5.1442 Å, c = 5.1442 Å
α = 90.00°, β = 90.00°, γ = 90.00°
Last column: nearest neighbours and their distance in Å.
Space group Pm-3m (No. 221)
One atom of each set of equivalent atoms:
Sb 0.0000 0.0000 0.5000  2 Mo 2.57
Mo 0.0000 0.0000 0.0000  6 Sb 2.57
Os 0.5000 0.5000 0.5000  12 Sb 3.64

Summary:
- Calculated density: 7.947 Mg/m³

---

b | Compound: Sb3MoOs
Source: the Alexandria database
Functional: GGA-PBE
Structure: optimized geometry

a = 5.1427 Å, b = 5.1427 Å, c = 5.1427 Å
α = 90.00°, β = 90.00°, γ = 90.00°
Last column: nearest neighbours and their distance in Å.
Space group Pm-3m (No. 221)
One atom of each set of equivalent atoms:
Sb 0.0000 0.0000 0.5000  2 Os 2.57
Mo 0.5000 0.5000 0.5000  12 Sb 3.64
Os 0.0000 0.0000 0.0000  6 Sb 2.57

Summary:
- Calculated density: 7.954 Mg/m³

---

It is b that is the most stable of them.

---

a | Compound: Sb2TeMoOs
Source: the Alexandria database
Functional: GGA-PBE
Structure: optimized geometry

a = 4.9879 Å, b = 4.9879 Å, c = 5.7041 Å
α = 90.00°, β = 90.00°, γ = 90.00°
Last column: nearest neighbours and their distance in Å.
Space group P4/mmm (No. 123)
One atom of each set of equivalent atoms:
Sb 0.0000 0.5000 0.0000  2 Os 2.49
Te 0.0000 0.0000 0.5000  2 Os 2.85
Mo 0.5000 0.5000 0.5000  4 Te 3.53, 8 Sb 3.79
Os 0.0000 0.0000 0.0000  4 Sb 2.49

Summary:
- Calculated density: 7.691 Mg/m³

---

b | Compound: Sb2TeMoOs
Source: the Alexandria database
Functional: GGA-PBE
Structure: optimized geometry

a = 5.1872 Å, b = 5.1872 Å, c = 5.1098 Å
α = 90.00°, β = 90.00°, γ = 90.00°
Last column: nearest neighbours and their distance in Å.
Space group P4/mmm (No. 123)
One atom of each set of equivalent atoms:
Sb 0.0000 0.5000 0.0000  2 Mo 2.59
Te 0.0000 0.0000 0.5000  2 Mo 2.55
Mo 0.0000 0.0000 0.0000  2 Te 2.55, 4 Sb 2.59
Os 0.5000 0.5000 0.5000  8 Sb 3.64, 4 Te 3.67

Summary:
- Calculated density: 7.938 Mg/m³

---

It is a that is the most stable of them.

---

a | Compound: ScMoOs
Source: the Alexandria database
Functional: GGA-PBE
Structure: optimized geometry

a = 2.9464 Å, b = 2.9464 Å, c = 6.7454 Å
α = 90.00°, β = 90.00°, γ = 120.00°
Last column: nearest neighbours and their distance in Å.
Space group P3m1 (No. 156)
One atom of each set of equivalent atoms:
Sc 0.0000 0.0000 0.0000  3 Os 2.86, 6 Sc 2.95, 3 Mo 2.96
Mo 0.6667 0.3333 0.3594  3 Os 2.65, 6 Mo 2.95, 3 Sc 2.96
Os 0.3333 0.6667 0.6598  3 Mo 2.65, 3 Sc 2.86, 6 Os 2.95

Summary:
- Calculated density: 10.842 Mg/m³

---

b | Compound: ScMoOs
Source: the Alexandria database
Functional: GGA-PBE
Structure: optimized geometry

a = 3.1681 Å, b = 4.6244 Å, c = 13.5565 Å
α = 90.00°, β = 90.00°, γ = 90.00°
Last column: nearest neighbours and their distance in Å.
Space group Fmm2 (No. 42)
One atom of each set of equivalent atoms:
Sc 0.0000 0.0000 0.0000  2 Os 2.73, 4 Sc 2.80, 2 Mo 2.91
Mo 0.0000 0.0000 0.6801  2 Os 2.64, 4 Mo 2.80, 2 Sc 2.91
Os 0.0000 0.0000 0.3362  2 Mo 2.64, 2 Sc 2.73, 4 Os 2.80

Summary:
- Calculated density: 11.074 Mg/m³

---

It is b that is the most stable of them.

---

a | Compound: ScMo2Os2
Source: the Alexandria database
Functional: GGA-PBE
Structure: optimized geometry

a = 7.6647 Å, b = 7.6647 Å, c = 2.8537 Å
α = 90.00°, β = 90.00°, γ = 90.00°
Last column: nearest neighbours and their distance in Å.
Space group P4/mbm (No. 127)
One atom of each set of equivalent atoms:
Sc 0.0000 0.0000 0.0000  2 Sc 2.85, 4 Mo 2.92
Mo 0.1495 0.3505 0.0000  6 Os 2.65-2.67, 2 Mo 2.85, 2 Sc 2.92
Os 0.1442 0.6442 0.5000  6 Mo 2.65-2.67, 2 Os 2.85

Summary:
- Calculated density: 12.228 Mg/m³

---

b | Compound: ScMo2Os2
Source: the Alexandria database
Functional: GGA-PBE
Structure: optimized geometry

a = 7.5777 Å, b = 7.5777 Å, c = 2.9187 Å
α = 90.00°, β = 90.00°, γ = 90.00°
Last column: nearest neighbours and their distance in Å.
Space group P4/mbm (No. 127)
One atom of each set of equivalent atoms:
Sc 0.0000 0.0000 0.0000  2 Sc 2.92, 4 Os 2.97, 8 Mo 3.18
Mo 0.1655 0.3345 0.5000  6 Os 2.63-2.69, 2 Mo 2.92
Os 0.1301 0.6301 0.0000  6 Mo 2.63-2.69, 3 Os 2.79-2.92

Summary:
- Calculated density: 12.232 Mg/m³

---

It is b that is the most stable of them.

---

a | Compound: Sc3MoOs
Source: the Alexandria database
Functional: GGA-PBE
Structure: optimized geometry

a = 4.7811 Å, b = 4.7811 Å, c = 4.7811 Å
α = 90.00°, β = 90.00°, γ = 90.00°
Last column: nearest neighbours and their distance in Å.
Space group Pm-3m (No. 221)
One atom of each set of equivalent atoms:
Sc 0.0000 0.0000 0.5000  2 Mo 2.39
Mo 0.0000 0.0000 0.0000  6 Sc 2.39
Os 0.5000 0.5000 0.5000  12 Sc 3.38

Summary:
- Calculated density: 6.397 Mg/m³

---

b | Compound: Sc3MoOs
Source: the Alexandria database
Functional: GGA-PBE
Structure: optimized geometry

a = 4.9783 Å, b = 4.9783 Å, c = 4.9783 Å
α = 90.00°, β = 90.00°, γ = 90.00°
Last column: nearest neighbours and their distance in Å.
Space group Pm-3m (No. 221)
One atom of each set of equivalent atoms:
Sc 0.0000 0.0000 0.5000  2 Os 2.49
Mo 0.5000 0.5000 0.5000  12 Sc 3.52
Os 0.0000 0.0000 0.0000  6 Sc 2.49

Summary:
- Calculated density: 5.667 Mg/m³

---

It is b that is the most stable of them.

---

a | Compound: MoOsSe4
Source: the Alexandria database
Functional: GGA-PBE
Structure: optimized geometry

a = 7.7250 Å, b = 7.7250 Å, c = 7.7250 Å
α = 90.00°, β = 90.00°, γ = 90.00°
Last column: nearest neighbours and their distance in Å.
Space group F-43m (No. 216)
One atom of each set of equivalent atoms:
Mo 0.0000 0.0000 0.0000  12 Se 3.20, 4 Os 3.35
Os 0.2500 0.2500 0.7500  12 Se 3.20, 4 Mo 3.35
Se 0.1246 0.1246 0.3754  6 Se 2.72-2.74

Summary:
- Calculated density: 8.674 Mg/m³

---

b | Compound: MoOsSe4
Source: the Alexandria database
Functional: GGA-PBE
Structure: optimized geometry

a = 14.0046 Å, b = 3.4431 Å, c = 5.8826 Å
α = 90.00°, β = 102.82°, γ = 90.00°
Last column: nearest neighbours and their distance in Å.
Space group Cm (No. 8)
One atom of each set of equivalent atoms:
Mo 0.0000 0.0000 0.0000  6 Se 2.45-2.66
Os 0.4917 0.0000 0.6085  6 Se 2.47-2.58
Se 0.0926 0.0000 0.4469  2 Os 2.54, 1 Mo 2.66
Se 0.1283 0.5000 0.9562  1 Os 2.47, 2 Mo 2.54
Se 0.3657 0.5000 0.6517  1 Mo 2.45, 2 Os 2.52
Se 0.3957 0.0000 0.1795  1 Os 2.58, 2 Mo 2.63

Summary:
- Calculated density: 7.229 Mg/m³

---

It is b that is the most stable of them.

---

a | Compound: Mo2Os2Se
Source: the Alexandria database
Functional: GGA-PBE
Structure: optimized geometry

a = 7.6415 Å, b = 7.6415 Å, c = 2.8669 Å
α = 90.00°, β = 90.00°, γ = 90.00°
Last column: nearest neighbours and their distance in Å.
Space group P4/mbm (No. 127)
One atom of each set of equivalent atoms:
Mo 0.1496 0.3504 0.0000  6 Os 2.63-2.71, 2 Mo 2.87
Os 0.1381 0.6381 0.5000  6 Mo 2.63-2.71, 2 Os 2.87
Se 0.0000 0.0000 0.5000  2 Se 2.87, 4 Os 2.96

Summary:
- Calculated density: 12.921 Mg/m³

---

b | Compound: Mo2Os2Se
Source: the Alexandria database
Functional: GGA-PBE
Structure: optimized geometry

a = 4.1354 Å, b = 4.1354 Å, c = 10.9772 Å
α = 90.00°, β = 90.00°, γ = 90.00°
Last column: nearest neighbours and their distance in Å.
Space group I4/mmm (No. 139)
One atom of each set of equivalent atoms:
Mo 0.0000 0.5000 0.2500  4 Os 2.52
Os 0.0000 0.0000 0.1190  4 Mo 2.52, 1 Os 2.61
Se 0.0000 0.0000 0.5000  8 Os 3.20, 8 Mo 3.44

Summary:
- Calculated density: 11.522 Mg/m³

---

It is a that is the most stable of them.

---

a | Compound: Mo3OsSe
Source: the Alexandria database
Functional: GGA-PBE
Structure: optimized geometry

a = 4.7654 Å, b = 4.7654 Å, c = 4.7654 Å
α = 90.00°, β = 90.00°, γ = 90.00°
Last column: nearest neighbours and their distance in Å.
Space group Pm-3m (No. 221)
One atom of each set of equivalent atoms:
Mo 0.0000 0.0000 0.5000  2 Os 2.38
Os 0.0000 0.0000 0.0000  6 Mo 2.38
Se 0.5000 0.5000 0.5000  12 Mo 3.37

Summary:
- Calculated density: 8.547 Mg/m³

---

b | Compound: Mo3OsSe
Source: the Alexandria database
Functional: GGA-PBE
Structure: optimized geometry

a = 4.5141 Å, b = 4.5141 Å, c = 4.5141 Å
α = 90.00°, β = 90.00°, γ = 90.00°
Last column: nearest neighbours and their distance in Å.
Space group Pm-3m (No. 221)
One atom of each set of equivalent atoms:
Mo 0.0000 0.0000 0.5000  2 Se 2.26
Os 0.5000 0.5000 0.5000  12 Mo 3.19
Se 0.0000 0.0000 0.0000  6 Mo 2.26

Summary:
- Calculated density: 10.055 Mg/m³

---

It is b that is the most stable of them.